Record 1
Pb3S2Cl | PBE-GGA | optimized geometry

## Properties
N(E_F) = 2.538 states/eV per cell
Electronic total energy = -3.99 eV/atom
E_form (uncorrected) = -0.45 eV per atom
Size of the total moment = 0.00 μB/f.u.

Lattice parameters (Å, degrees): 4.044 14.000 7.215 90.00 90.00 90.00
Space group Imm2 (No. 44)
Symmetry-distinct sites (fractional):
Pb 0.000 0.000 0.000
Pb 0.000 0.352 0.856
S 0.000 0.201 0.122
Cl 0.000 0.500 0.202



Record 2
Cu3Pd2Pt | PBE-GGA | optimized geometry

## Properties
N(E_F) = 20.586 states/eV per cell
Electronic total energy = -4.90 eV/atom
Size of the total moment = 0.00 μB/f.u.
Energy of formation = -0.114 eV/atom

Lattice parameters (Å, degrees): 3.986 11.988 6.947 90.00 90.00 90.00
Space group Cmmm (No. 65)
Symmetry-distinct sites (fractional):
Cu 0.000 0.000 0.250
Cu 0.000 0.333 0.250
Pd 0.000 0.166 0.000
Pd 0.000 0.500 0.000
Pd 0.000 0.500 0.500
Pt 0.000 0.167 0.500



Record 3
Fe2MoCl | PBE-GGA | optimized geometry

## Properties
N(E_F) = 17.323 states/eV per cell
Electronic total energy = -7.07 eV/atom
E_form (uncorrected) = 0.34 eV per atom
Size of the total moment = 5.22 μB/f.u.
Polymorph energy (0 for the lowest one) = 163.2 meV/atom

Lattice parameters (Å, degrees): 2.9236 2.9236 23.6996 90.00 90.00 120.00
Space group R-3m (No. 166, hexagonal axes)
Symmetry-distinct sites (fractional):
Fe 0.0000 0.0000 0.2494
Mo 0.0000 0.0000 0.0000
Cl 0.0000 0.0000 0.5000



Record 4
Tb3Er2Cd4 | PBE-GGA | optimized geometry

## Properties
N(E_F) = 33.052 states/eV per cell
Electronic total energy = -3.09 eV/atom
Size of the total moment = 0.00 μB/f.u.
Energy of formation = -0.125 eV/atom

Lattice parameters (Å, degrees): 6.643 18.939 8.023 90.00 90.00 90.00
Space group Cmce (No. 64)
Symmetry-distinct sites (fractional):
Tb 0.000 0.000 0.000
Tb 0.250 0.246 0.250
Er 0.000 0.091 0.601
Cd 0.000 0.158 0.979
Cd 0.250 0.077 0.250



Record 5
KSr2PdPb | PBE-GGA | optimized geometry

## Properties
N(E_F) = 3.041 states/eV per cell
Electronic total energy = -2.96 eV/atom
Size of the total moment = 0.78 μB/f.u.
Energy of formation = -0.286 eV/atom

Lattice parameters (Å, degrees): 6.036 6.036 5.381 90.00 90.00 90.00
Space group P4/mmm (No. 123)
Symmetry-distinct sites (fractional):
K 0.000 0.000 0.000
Sr 0.000 0.500 0.500
Pd 0.500 0.500 0.500
Pb 0.500 0.500 0.000



Record 6
La2PmAgOs | PBE-GGA | optimized geometry

## Properties
N(E_F) = 4.535 states/eV per cell
Electronic total energy = -5.73 eV/atom
Size of the total moment = 0.00 μB/f.u.
Energy of formation = 0.008 eV/atom

Lattice parameters (Å, degrees): 5.525 5.525 5.635 90.00 90.00 90.00
Space group P4mm (No. 99)
Symmetry-distinct sites (fractional):
La 0.000 0.500 0.000
Pm 0.000 0.000 0.526
Ag 0.500 0.500 0.616
Os 0.000 0.000 0.038



> Number 1 is which compound?

Pb3S2Cl